A plane-wave DFT calculation with PBE-GGA was carried out for an optimized crystal structure of AgRuW2Cl.

```
data_AgRuW2Cl
_cell_length_a 4.881
_cell_length_b 4.881
_cell_length_c 4.935
_cell_angle_alpha 90.00
_cell_angle_beta 90.00
_cell_angle_gamma 90.00
_symmetry_space_group_name_H-M 'P 4/m m m'
_symmetry_Int_Tables_number 123
_symmetry_space_group_name_Hall '-P 4 2'
loop_
_atom_site_label
_atom_site_type_symbol
_atom_site_fract_x
_atom_site_fract_y
_atom_site_fract_z
Ag1 Ag 0.000 0.000 0.000
Ru1 Ru 0.000 0.000 0.500
W1 W 0.000 0.500 0.000
Cl1 Cl 0.500 0.500 0.500
```

## Properties
Its density of states at the Fermi level is 1.472 states/eV/atom. The total energy is -5.019 eV/atom. Its density is 8.65 g cm⁻³. The calculation puts the energy relative to the elements, uncorrected at 2.957 eV per atom.